[1]
Crystalline AsOs2Ru at its relaxed geometry. Source: the Alexandria database, functional PBE.

The calculation puts the formation energy at 0.359 eV/atom. The size of the total moment is 0.00 μB/f.u. Its crystal system is orthorhombic.

It has space group Pmm2 (No. 25), with a = 2.833 Å, b = 3.824 Å, c = 5.485 Å, α = 90.00°, β = 90.00° and γ = 90.00°. Symmetry generates all atoms from As at (0.000, 0.000, 0.000), Os at (0.000, 0.000, 0.505), Os at (0.500, 0.500, 0.319) and Ru at (0.500, 0.500, 0.821).

***

[2]
Crystalline AsOs2Ru at its relaxed geometry. Source: the Alexandria database, functional PBE.

The calculation puts the formation energy at 0.735 eV/atom. The size of the total moment is 0.81 μB/f.u. Its crystal system is orthorhombic.

It has space group Cmmm (No. 65), with a = 2.746 Å, b = 4.730 Å, c = 9.433 Å, α = 90.00°, β = 90.00° and γ = 90.00°. Symmetry generates all atoms from As at (0.000, 0.000, 0.000), Os at (0.000, 0.500, 0.260) and Ru at (0.000, 0.000, 0.500).

***

[3]
Crystalline As2OsRu at its relaxed geometry. Source: the Alexandria database, functional PBE.

The energy above the most stable polymorph in this dataset is 244 meV per atom. The calculation puts the formation energy at 0.299 eV/atom. The size of the total moment is 0.00 μB/f.u. Its crystal system is orthorhombic.

It has space group Imm2 (No. 44), with a = 3.028 Å, b = 4.263 Å, c = 9.587 Å, α = 90.00°, β = 90.00° and γ = 90.00°. Symmetry generates all atoms from As at (0.000, 0.000, 0.000), As at (0.000, 0.500, 0.222), Os at (0.000, 0.500, 0.717) and Ru at (0.000, 0.000, 0.503).

***

[4]
Crystalline AsOs2Ru at its relaxed geometry. Source: the Alexandria database, functional PBE.

The calculation puts the formation energy at 0.676 eV/atom. The size of the total moment is 0.16 μB/f.u. Its crystal system is orthorhombic.

It has space group Cmm2 (No. 35), with a = 2.803 Å, b = 4.836 Å, c = 8.856 Å, α = 90.00°, β = 90.00° and γ = 90.00°. Symmetry generates all atoms from As at (0.000, 0.000, 0.000), Os at (0.000, 0.000, 0.497), Os at (0.000, 0.500, 0.750) and Ru at (0.000, 0.500, 0.241).